Below is crystalline Mn2TcOs at its relaxed geometry, with properties calculated at the PBE-GGA level.

a = 4.515 Å, b = 4.515 Å, c = 2.660 Å
α = 89.99°, β = 89.99°, γ = 107.95°
Sites, in units of the cell vectors:
Mn  0.000  0.000  0.000
Mn  0.500  0.500  0.000
Os  0.500  0.000  0.500
Tc  0.000  0.500  0.500

Properties
- SG = Cmmm
- D(E_F) (states/eV per cell) = 4.01
- calculated formation energy (meV/atom) = 81
- calculated volume (A^3/atom) = 12.90